1.
The following is a DFT calculation (PBE-GGA) of a relaxed structure of GeSCl2.

Cell: 9.556 9.556 7.169 Å, 48.20 48.20 90.00°
Atoms (fractional coordinates):
1 Ge 0.000 0.000 0.000
2 Cl 0.791 0.125 0.250
3 S 0.250 0.750 0.500
4 S 0.500 0.500 0.000
5 Ge 0.750 0.250 0.500
6 Cl 0.375 0.209 0.750
7 Cl 0.875 0.041 0.750
8 Cl 0.959 0.625 0.250

density = 2.67 g cm⁻³
DOS(E_F) = 0.54 states/eV/atom
E above lowest polymorph = 667 meV per atom
formation energy (no corrections) = -0.035 eV per atom
space group = No. 122
spin magnetization = 1.88 μB/cell

---

2.
The following is a DFT calculation (PBE-GGA) of a relaxed structure of Pm2YRuO8.

Cell: 5.138 5.143 6.889 Å, 90.00 90.00 90.60°
Atoms (fractional coordinates):
1 O 0.821 0.179 0.791
2 O 0.303 0.304 0.500
3 O 0.697 0.696 0.500
4 Pm 0.500 0.500 0.250
5 Pm 0.500 0.500 0.750
6 O 0.741 0.741 0.000
7 Ru 0.000 0.000 0.000
8 Y 0.000 0.000 0.500
9 O 0.179 0.821 0.791
10 O 0.821 0.179 0.209
11 O 0.259 0.259 0.000
12 O 0.179 0.821 0.209

density = 5.55 g cm⁻³
DOS(E_F) = 0.19 states/eV/atom
formation energy (no corrections) = -2.311 eV per atom
space group = No. 65
spin magnetization = 1.04 μB/cell

---

3.
The following is a DFT calculation (PBE-GGA) of a relaxed structure of SrEuPd2.

Cell: 3.685 3.685 7.388 Å, 90.00 90.00 90.00°
Atoms (fractional coordinates):
1 Pd 0.000 0.000 0.771
2 Eu 0.500 0.500 0.000
3 Sr 0.500 0.500 0.500
4 Pd 0.000 0.000 0.229

energy of formation from the pure elements = -593 meV/atom
density = 7.49 g cm⁻³
DOS(E_F) = 3.80 states/eV/atom
E above lowest polymorph = 0 meV per atom
space group = No. 123
spin magnetization = 6.83 μB/cell

---

4.
The following is a DFT calculation (PBE-GGA) of a relaxed structure of SrAs2RhS8.

Cell: 5.924 5.924 8.689 Å, 90.00 90.00 120.00°
Atoms (fractional coordinates):
1 S 0.667 0.333 0.021
2 S 0.707 0.674 0.672
3 S 0.293 0.326 0.328
4 S 0.967 0.293 0.672
5 As 0.333 0.667 0.729
6 S 0.333 0.667 0.979
7 Rh 0.000 0.000 0.500
8 Sr 0.000 0.000 0.000
9 S 0.033 0.707 0.328
10 As 0.667 0.333 0.271
11 S 0.674 0.967 0.328
12 S 0.326 0.033 0.672

density = 3.75 g cm⁻³
DOS(E_F) = 1.16 states/eV/atom
formation energy (no corrections) = -0.345 eV per atom
space group = No. 147
spin magnetization = 0.00 μB/cell

---

5.
The following is a DFT calculation (PBE-GGA) of a relaxed structure of Tb2Pr5.

Cell: 5.850 5.850 8.937 Å, 70.90 70.90 60.00°
Atoms (fractional coordinates):
1 Pr 0.500 0.500 0.500
2 Pr 0.793 0.793 0.621
3 Pr 0.068 0.068 0.796
4 Pr 0.207 0.207 0.379
5 Tb 0.653 0.653 0.041
6 Pr 0.932 0.932 0.204
7 Tb 0.347 0.347 0.959

energy of formation from the pure elements = 130 meV/atom
density = 6.92 g cm⁻³
DOS(E_F) = 2.39 states/eV/atom
E above lowest polymorph = 115 meV per atom
space group = No. 166
spin magnetization = 0.00 μB/cell

---

6.
The following is a DFT calculation (PBE-GGA) of a relaxed structure of AcZn2AgAu5.

Cell: 5.029 5.029 7.574 Å, 90.00 90.00 90.00°
Atoms (fractional coordinates):
1 Zn 0.500 0.500 0.162
2 Au 0.500 0.000 0.790
3 Zn 0.500 0.500 0.838
4 Au 0.500 0.500 0.500
5 Ac 0.000 0.000 0.500
6 Ag 0.000 0.000 0.000
7 Au 0.000 0.500 0.790
8 Au 0.000 0.500 0.210
9 Au 0.500 0.000 0.210

energy of formation from the pure elements = -262 meV/atom
density = 12.58 g cm⁻³
DOS(E_F) = 0.42 states/eV/atom
space group = No. 123
spin magnetization = 0.00 μB/cell

---

7.
The following is a DFT calculation (PBE-GGA) of a relaxed structure of Ce11Ir4Pb9.

Cell: 13.175 13.175 4.001 Å, 90.00 90.00 112.22°
Atoms (fractional coordinates):
1 Pb 0.851 0.368 0.500
2 Ir 0.247 0.452 0.500
3 Ce 0.627 0.373 0.000
4 Pb 0.500 0.500 0.500
5 Ce 0.373 0.627 0.000
6 Ce 0.158 0.842 0.000
7 Ir 0.452 0.247 0.500
8 Pb 0.782 0.929 0.500
9 Pb 0.929 0.782 0.500
10 Ir 0.548 0.753 0.500
11 Ce 0.312 0.312 0.000
12 Pb 0.149 0.632 0.500
13 Pb 0.071 0.218 0.500
14 Ce 0.842 0.158 0.000
15 Ce 0.000 0.000 0.000
16 Ir 0.753 0.548 0.500
17 Ce 0.583 0.918 0.000
18 Pb 0.218 0.071 0.500
19 Ce 0.688 0.688 0.000
20 Pb 0.368 0.851 0.500
21 Pb 0.632 0.149 0.500
22 Ce 0.417 0.082 0.000
23 Ce 0.918 0.583 0.000
24 Ce 0.082 0.417 0.000

energy of formation from the pure elements = -532 meV/atom
density = 10.78 g cm⁻³
DOS(E_F) = 2.41 states/eV/atom
space group = No. 65
spin magnetization = 6.50 μB/cell

---

8.
The following is a DFT calculation (PBE-GGA) of a relaxed structure of LaTlIO.

Cell: 4.254 4.254 15.392 Å, 90.00 90.00 90.00°
Atoms (fractional coordinates):
1 Tl 0.750 0.250 0.500
2 La 0.750 0.750 0.925
3 O 0.750 0.250 0.000
4 Tl 0.250 0.750 0.500
5 O 0.250 0.750 0.000
6 La 0.250 0.250 0.075
7 I 0.750 0.750 0.197
8 I 0.250 0.250 0.803

density = 5.80 g cm⁻³
DOS(E_F) = 0.32 states/eV/atom
formation energy (no corrections) = -1.976 eV per atom
space group = No. 129
spin magnetization = 0.00 μB/cell

---

9.
The following is a DFT calculation (PBE-GGA) of a relaxed structure of LiUAu4.

Cell: 2.927 4.911 8.154 Å, 90.00 82.65 90.00°
Atoms (fractional coordinates):
1 Au 0.961 0.500 0.178
2 Li 0.500 0.500 0.500
3 Au 0.039 0.500 0.822
4 U 0.500 0.000 0.000
5 Au 0.170 0.000 0.652
6 Au 0.830 0.000 0.348

energy of formation from the pure elements = -292 meV/atom
density = 14.75 g cm⁻³
DOS(E_F) = 0.94 states/eV/atom
E above lowest polymorph = 0 meV per atom
space group = No. 10
spin magnetization = 3.11 μB/cell

---

10.
The following is a DFT calculation (PBE-GGA) of a relaxed structure of Sr2PbC.

Cell: 5.434 5.434 5.434 Å, 60.00 60.00 60.00°
Atoms (fractional coordinates):
1 Pb 0.500 0.500 0.500
2 C 0.000 0.000 0.000
3 Sr 0.750 0.750 0.750
4 Sr 0.250 0.250 0.250

energy of formation from the pure elements = 742 meV/atom
density = 5.77 g cm⁻³
DOS(E_F) = 0.74 states/eV/atom
space group = No. 225
spin magnetization = 0.00 μB/cell

---

11.
The following is a DFT calculation (PBE-GGA) of a relaxed structure of TlCr2Ir.

Cell: 9.016 9.016 9.016 Å, 18.04 18.04 18.04°
Atoms (fractional coordinates):
1 Tl 0.250 0.250 0.250
2 Ir 0.750 0.750 0.750
3 Cr 0.494 0.494 0.494
4 Cr 0.006 0.006 0.006

energy of formation from the pure elements = 636 meV/atom
density = 13.55 g cm⁻³
DOS(E_F) = 1.17 states/eV/atom
E above lowest polymorph = 262 meV per atom
space group = No. 166
spin magnetization = 1.02 μB/cell

---

12.
The following is a DFT calculation (PBE-GGA) of a relaxed structure of K2Tl3Pd4Pb.

Cell: 4.767 4.767 11.485 Å, 90.00 90.00 90.00°
Atoms (fractional coordinates):
1 Pd 0.000 0.000 0.000
2 K 0.000 0.500 0.762
3 Tl 0.000 0.500 0.126
4 Tl 0.000 0.000 0.500
5 Pd 0.500 0.000 0.633
6 Pb 0.500 0.500 0.500
7 Tl 0.500 0.000 0.874
8 Pd 0.000 0.500 0.367
9 Pd 0.500 0.500 0.000
10 K 0.500 0.000 0.238

energy of formation from the pure elements = -166 meV/atom
density = 8.42 g cm⁻³
DOS(E_F) = 0.52 states/eV/atom
space group = No. 115
spin magnetization = 0.00 μB/cell

---

13.
The following is a DFT calculation (PBE-GGA) of a relaxed structure of RbTiTl2Cl8.

Cell: 6.682 6.723 8.951 Å, 79.74 86.57 85.11°
Atoms (fractional coordinates):
1 Rb 0.000 0.000 0.500
2 Tl 0.473 0.428 0.755
3 Cl 0.909 0.260 0.791
4 Cl 0.733 0.818 0.955
5 Cl 0.210 0.833 0.833
6 Tl 0.527 0.572 0.245
7 Cl 0.790 0.167 0.167
8 Cl 0.388 0.279 0.492
9 Cl 0.612 0.721 0.508
10 Cl 0.091 0.740 0.209
11 Cl 0.267 0.182 0.045
12 Ti 0.000 0.000 0.000

density = 3.48 g cm⁻³
DOS(E_F) = 0.50 states/eV/atom
formation energy (no corrections) = -1.283 eV per atom
space group = No. 2
spin magnetization = 0.00 μB/cell

---

14.
The following is a DFT calculation (PBE-GGA) of a relaxed structure of SrLiMg.

Cell: 5.228 8.374 8.881 Å, 90.00 90.00 90.00°
Atoms (fractional coordinates):
1 Li 0.000 0.681 0.166
2 Li 0.500 0.819 0.666
3 Sr 0.000 0.500 0.773
4 Sr 0.500 0.000 0.273
5 Mg 0.500 0.686 0.993
6 Li 0.500 0.181 0.666
7 Mg 0.000 0.814 0.493
8 Li 0.000 0.319 0.166
9 Mg 0.500 0.314 0.993
10 Sr 0.500 0.500 0.387
11 Mg 0.000 0.186 0.493
12 Sr 0.000 0.000 0.887

energy of formation from the pure elements = -24 meV/atom
density = 2.03 g cm⁻³
DOS(E_F) = 0.76 states/eV/atom
E above lowest polymorph = 26 meV per atom
space group = No. 44
spin magnetization = 0.00 μB/cell

---

15.
The following is a DFT calculation (PBE-GGA) of a relaxed structure of Y2Al3Co9.

Cell: 7.294 7.294 8.396 Å, 90.00 90.00 119.64°
Atoms (fractional coordinates):
1 Co 0.979 0.658 0.094
2 Co 0.342 0.021 0.906
3 Co 0.979 0.658 0.406
4 Al 0.000 0.000 0.500
5 Co 0.021 0.342 0.594
6 Y 0.676 0.984 0.750
7 Co 0.021 0.342 0.906
8 Co 0.344 0.344 0.002
9 Co 0.834 0.834 0.250
10 Y 0.016 0.324 0.250
11 Y 0.324 0.016 0.250
12 Al 0.313 0.687 0.000
13 Co 0.658 0.979 0.094
14 Y 0.984 0.676 0.750
15 Al 0.687 0.313 0.000
16 Al 0.000 0.000 0.000
17 Co 0.658 0.979 0.406
18 Al 0.687 0.313 0.500
19 Co 0.537 0.354 0.750
20 Co 0.166 0.166 0.750
21 Co 0.656 0.656 0.998
22 Co 0.463 0.646 0.250
23 Co 0.344 0.344 0.498
24 Co 0.342 0.021 0.594
25 Al 0.313 0.687 0.500
26 Co 0.354 0.537 0.750
27 Co 0.656 0.656 0.502
28 Co 0.646 0.463 0.250

energy of formation from the pure elements = -281 meV/atom
density = 6.75 g cm⁻³
DOS(E_F) = 1.07 states/eV/atom
space group = No. 63
spin magnetization = 15.23 μB/cell

---

16.
The following is a DFT calculation (PBE-GGA) of a relaxed structure of Pm3Sm3In.

Cell: 5.268 13.572 12.990 Å, 90.00 90.00 90.00°
Atoms (fractional coordinates):
1 Sm 0.250 0.557 0.932
2 Sm 0.250 0.013 0.064
3 Pm 0.750 0.677 0.775
4 Pm 0.250 0.314 0.622
5 Pm 0.250 0.086 0.305
6 Sm 0.250 0.270 0.935
7 Sm 0.750 0.730 0.065
8 Sm 0.750 0.987 0.936
9 Pm 0.750 0.186 0.122
10 Pm 0.250 0.823 0.275
11 Sm 0.750 0.487 0.564
12 Pm 0.250 0.586 0.195
13 Sm 0.750 0.943 0.432
14 In 0.750 0.949 0.188
15 Pm 0.250 0.814 0.878
16 Sm 0.750 0.230 0.435
17 In 0.250 0.551 0.688
18 Sm 0.250 0.513 0.436
19 Pm 0.250 0.323 0.225
20 Pm 0.750 0.414 0.805
21 Sm 0.250 0.770 0.565
22 Sm 0.250 0.057 0.568
23 Pm 0.750 0.177 0.725
24 In 0.250 0.051 0.812
25 Pm 0.750 0.686 0.378
26 Pm 0.750 0.914 0.695
27 Sm 0.750 0.443 0.068
28 In 0.750 0.449 0.312

energy of formation from the pure elements = -32 meV/atom
density = 7.16 g cm⁻³
DOS(E_F) = 1.40 states/eV/atom
E above lowest polymorph = 71 meV per atom
space group = No. 62
spin magnetization = 0.00 μB/cell

---

17.
The following is a DFT calculation (PBE-GGA) of a relaxed structure of Ca3U3CuAs8.

Cell: 8.053 8.052 8.383 Å, 118.70 90.00 120.00°
Atoms (fractional coordinates):
1 As 0.253 0.016 0.279
2 Ca 0.000 0.500 0.000
3 Cu 0.000 0.000 0.500
4 As 0.747 0.984 0.721
5 U 0.500 0.500 0.500
6 As 0.236 0.984 0.721
7 As 0.764 0.529 0.281
8 As 0.745 0.489 0.734
9 As 0.236 0.471 0.719
10 Ca 0.000 0.000 0.000
11 As 0.764 0.016 0.279
12 As 0.255 0.511 0.266
13 U 0.000 0.500 0.500
14 Ca 0.500 0.500 0.000
15 U 0.500 0.000 0.500

energy of formation from the pure elements = -601 meV/atom
density = 6.35 g cm⁻³
DOS(E_F) = 1.26 states/eV/atom
space group = No. 12
spin magnetization = 3.54 μB/cell

---

18.
The following is a DFT calculation (PBE-GGA) of a relaxed structure of K2Mn2C.

Cell: 5.569 5.569 5.875 Å, 90.00 90.00 90.00°
Atoms (fractional coordinates):
1 C 0.500 0.500 0.000
2 Mn 0.180 0.320 0.000
3 K 0.298 0.202 0.500
4 K 0.202 0.702 0.500
5 Mn 0.820 0.680 0.000
6 K 0.702 0.798 0.500
7 K 0.798 0.298 0.500
8 C 0.000 0.000 0.000
9 Mn 0.320 0.820 0.000
10 Mn 0.680 0.180 0.000

energy of formation from the pure elements = 882 meV/atom
density = 3.65 g cm⁻³
DOS(E_F) = 0.99 states/eV/atom
E above lowest polymorph = 0 meV per atom
space group = No. 127
spin magnetization = 10.42 μB/cell

---

19.
The following is a DFT calculation (PBE-GGA) of a relaxed structure of PaNi3C.

Cell: 4.580 4.580 5.275 Å, 64.27 64.27 60.00°
Atoms (fractional coordinates):
1 C 0.090 0.090 0.730
2 Ni 0.325 0.818 0.040
3 Ni 0.818 0.325 0.040
4 Ni 0.818 0.818 0.040
5 Pa 0.825 0.825 0.525

energy of formation from the pure elements = 458 meV/atom
density = 8.40 g cm⁻³
DOS(E_F) = 0.80 states/eV/atom
space group = No. 160
spin magnetization = 0.00 μB/cell

---

20.
The following is a DFT calculation (PBE-GGA) of a relaxed structure of PrNdPtRh.

Cell: 5.077 5.077 5.077 Å, 60.00 60.00 60.00°
Atoms (fractional coordinates):
1 Nd 0.500 0.500 0.500
2 Pt 0.750 0.750 0.750
3 Pr 0.000 0.000 0.000
4 Rh 0.250 0.250 0.250

energy of formation from the pure elements = -828 meV/atom
density = 10.47 g cm⁻³
DOS(E_F) = 0.69 states/eV/atom
E above lowest polymorph = 84 meV per atom
space group = No. 216
spin magnetization = 0.00 μB/cell

---

21.
The following is a DFT calculation (PBE-GGA) of a relaxed structure of TaBr3Cl.

Cell: 8.369 10.233 11.475 Å, 90.00 89.10 90.00°
Atoms (fractional coordinates):
1 Br 0.232 0.619 0.807
2 Br 0.941 0.382 0.903
3 Br 0.338 0.354 0.020
4 Cl 0.030 0.859 0.601
5 Ta 0.071 0.360 0.124
6 Ta 0.071 0.640 0.624
7 Ta 0.929 0.360 0.376
8 Ta 0.929 0.640 0.876
9 Br 0.338 0.646 0.520
10 Br 0.059 0.382 0.597
11 Br 0.768 0.619 0.693
12 Cl 0.970 0.859 0.899
13 Br 0.662 0.646 0.980
14 Br 0.059 0.618 0.097
15 Cl 0.970 0.141 0.399
16 Br 0.232 0.381 0.307
17 Br 0.941 0.618 0.403
18 Br 0.662 0.354 0.480
19 Br 0.768 0.381 0.193
20 Cl 0.030 0.141 0.101

density = 3.08 g cm⁻³
E above lowest polymorph = 0 meV per atom
formation energy (no corrections) = -0.950 eV per atom
space group = No. 13
spin magnetization = 0.00 μB/cell